Record 1
A relaxed structure of POs2W, computed with PBE.

Output
Formation energy from the elements   0.40 eV/atom
SG   I4/mmm
Fermi-level density of states   4.5 states/eV/cell

Lattice parameters (Å, degrees): 4.7144 4.7144 4.7144 131.56 131.56 70.93
With the nearest neighbours (Å) after each atom.
Atoms (fractional coordinates):
P1 0.5000 0.5000 0.0000  8 Os 2.73, 4 W 2.74
Os1 0.7500 0.2500 0.5000  4 P 2.73, 4 W 2.73, 4 Os 2.74
Os2 0.2500 0.7500 0.5000  4 W 2.73, 4 P 2.73, 4 Os 2.74
W1 0.0000 0.0000 0.0000  8 Os 2.73, 4 P 2.74

Record 2
A relaxed structure of SrCaH3, computed with PBE.

Output
SG   Pm-3m
Distance to the lowest polymorph of the same formula   25.9 kJ/mol of atoms
Fermi-level density of states   1.0 states/eV/cell

Lattice parameters (Å, degrees): 4.5320 4.5320 4.5320 90.00 90.00 90.00
With the nearest neighbours (Å) after each atom.
Atoms (fractional coordinates):
Sr1 0.0000 0.0000 0.0000  6 H 2.27
Ca1 0.5000 0.5000 0.5000  12 H 3.20
H1 0.0000 0.5000 0.0000  2 Sr 2.27
H2 0.0000 0.0000 0.5000  2 Sr 2.27
H3 0.5000 0.0000 0.0000  2 Sr 2.27

Record 3
A relaxed structure of TlNi2Se2, computed with PBE.

Output
SG   I4/mmm
Formation energy (no corrections)   -0.28 eV per formula unit
Distance to the lowest polymorph of the same formula   20.3 kJ/mol of atoms
Fermi-level density of states   2.0 states/eV/cell

Lattice parameters (Å, degrees): 4.6261 4.6261 6.1969 68.08 68.08 90.00
With the nearest neighbours (Å) after each atom.
Atoms (fractional coordinates):
Ni1 0.3084 0.3084 0.3832  4 Se 2.39
Ni2 0.6916 0.6916 0.6168  4 Se 2.39
Tl1 0.0000 0.0000 0.0000  2 Ni 3.25, 8 Se 3.50
Se1 0.7500 0.2500 0.5000  4 Ni 2.39
Se2 0.2500 0.7500 0.5000  4 Ni 2.39

Record 4
A relaxed structure of RbAlHgI4, computed with PBE.

Output
SG   Imma
Formation energy (no corrections)   -5.60 eV per formula unit
Fermi-level density of states   0.0 states/eV/cell

Lattice parameters (Å, degrees): 8.9167 10.1824 10.1824 68.57 64.03 64.03
With the nearest neighbours (Å) after each atom.
Atoms (fractional coordinates):
Rb1 0.0000 0.0000 0.0000  6 I 3.75-4.00
Rb2 0.0000 0.5000 0.5000  6 I 3.75-4.00
Al1 0.6315 0.6185 0.1185  4 I 2.54-2.60
Al2 0.3685 0.3815 0.8815  4 I 2.54-2.60
Hg1 0.5000 0.0000 0.5000  6 I 3.85-4.22
Hg2 0.0000 0.0000 0.5000  6 I 3.85-4.22
I1 0.7236 0.7162 0.8365  1 Al 2.54
I2 0.2764 0.6635 0.7838  1 Al 2.54
I3 0.7236 0.3365 0.2162  1 Al 2.54
I4 0.2764 0.2838 0.1635  1 Al 2.54
I5 0.2893 0.7305 0.2305  1 Al 2.60
I6 0.7497 0.7305 0.2305  1 Al 2.60
I7 0.2503 0.2695 0.7695  1 Al 2.60
I8 0.7107 0.2695 0.7695  1 Al 2.60

Record 5
A relaxed structure of HPtCl2, computed with PBE.

Output
SG   R-3m
Distance to the lowest polymorph of the same formula   0.0 kJ/mol of atoms
Fermi-level density of states   2.3 states/eV/cell

Lattice parameters (Å, degrees): 5.9359 5.9359 5.9359 41.18 41.18 41.18
With the nearest neighbours (Å) after each atom.
Atoms (fractional coordinates):
H1 0.0000 0.0000 0.0000  2 Cl 1.57
Pt1 0.5000 0.5000 0.5000  6 Cl 2.67
Cl1 0.9036 0.9036 0.9036  1 H 1.57
Cl2 0.0964 0.0964 0.0964  1 H 1.57

Record 6
A relaxed structure of SrCdPt2, computed with PBE.

Output
Formation energy from the elements   -0.42 eV/atom
SG   Cmmm
Fermi-level density of states   1.4 states/eV/cell

Lattice parameters (Å, degrees): 4.7196 4.7196 3.7610 90.00 90.00 83.31
With the nearest neighbours (Å) after each atom.
Atoms (fractional coordinates):
Cd1 0.0000 0.5000 0.5000  8 Pt 3.02, 2 Sr 3.14
Pt1 0.0000 0.0000 0.0000  4 Cd 3.02, 4 Sr 3.02, 2 Pt 3.14
Pt2 0.5000 0.5000 0.0000  4 Sr 3.02, 4 Cd 3.02, 2 Pt 3.14
Sr1 0.5000 0.0000 0.5000  8 Pt 3.02, 2 Cd 3.14

Record 7
A relaxed structure of YZn5Pt3, computed with PBE.

Output
Formation energy from the elements   -0.56 eV/atom
SG   Cmcm
Fermi-level density of states   3.8 states/eV/cell

Lattice parameters (Å, degrees): 3.8959 7.2117 11.8503 90.00 90.00 105.67
With the nearest neighbours (Å) after each atom.
Atoms (fractional coordinates):
Y1 0.8084 0.6168 0.7500  6 Pt 3.03-3.07
Y2 0.1916 0.3832 0.2500  6 Pt 3.03-3.07
Zn1 0.8028 0.6055 0.4554  4 Pt 2.57-2.65, 3 Zn 2.66-2.79
Zn2 0.1972 0.3945 0.9554  4 Pt 2.57-2.65, 3 Zn 2.66-2.79
Zn3 0.0000 0.0000 0.5000  4 Pt 2.68, 6 Zn 2.70-2.79
Zn4 0.0000 0.0000 0.0000  4 Pt 2.68, 6 Zn 2.70-2.79
Zn5 0.4399 0.8798 0.1409  4 Pt 2.58-2.67, 3 Zn 2.59-2.70
Zn6 0.5601 0.1202 0.8591  4 Pt 2.58-2.67, 3 Zn 2.59-2.70
Zn7 0.5601 0.1202 0.6409  4 Pt 2.58-2.67, 3 Zn 2.59-2.70
Zn8 0.8028 0.6055 0.0446  4 Pt 2.57-2.65, 3 Zn 2.66-2.79
Zn9 0.1972 0.3945 0.5446  4 Pt 2.57-2.65, 3 Zn 2.66-2.79
Zn10 0.4399 0.8798 0.3591  4 Pt 2.58-2.67, 3 Zn 2.59-2.70
Pt1 0.3834 0.7667 0.9252  7 Zn 2.58-2.68
Pt2 0.8621 0.7243 0.2500  6 Zn 2.57-2.58
Pt3 0.3834 0.7667 0.5748  7 Zn 2.58-2.68
Pt4 0.6166 0.2333 0.4252  7 Zn 2.58-2.68
Pt5 0.1379 0.2757 0.7500  6 Zn 2.57-2.58
Pt6 0.6166 0.2333 0.0748  7 Zn 2.58-2.68

Record 8
A relaxed structure of La2Ho2Th, computed with PBE.

Output
Formation energy from the elements   0.06 eV/atom
SG   Cmmm
Distance to the lowest polymorph of the same formula   4.3 kJ/mol of atoms
Fermi-level density of states   6.9 states/eV/cell

Lattice parameters (Å, degrees): 3.5803 5.2012 9.3360 106.16 90.00 90.00
With the nearest neighbours (Å) after each atom.
Atoms (fractional coordinates):
La1 0.0000 0.8059 0.6108  4 La 3.27-3.58, 1 Th 3.49, 4 Ho 3.62
La2 0.0000 0.1941 0.3892  4 La 3.27-3.58, 1 Th 3.49, 4 Ho 3.62
Ho1 0.5000 0.4039 0.8074  3 Ho 3.45-3.58, 4 Th 3.60, 4 La 3.62
Ho2 0.5000 0.5961 0.1926  3 Ho 3.45-3.58, 4 Th 3.60, 4 La 3.62
Th1 0.0000 0.0000 0.0000  2 La 3.49, 2 Th 3.58, 8 Ho 3.60

Record 9
A relaxed structure of Ba8Al10B12O41, computed with PBE.

Output
SG   P-1
Formation energy (no corrections)   -201.94 eV per formula unit
Fermi-level density of states   0.0 states/eV/cell

Lattice parameters (Å, degrees): 9.3641 9.9369 11.2432 76.26 73.71 77.94
With the nearest neighbours (Å) after each atom.
Atoms (fractional coordinates):
Ba1 0.7780 0.9467 0.8558  6 O 2.78-3.08
Ba2 0.2220 0.0533 0.1442  6 O 2.78-3.08
Ba3 0.8043 0.4246 0.8499  9 O 2.71-3.03
Ba4 0.1957 0.5754 0.1501  9 O 2.71-3.03
Ba5 0.7909 0.5718 0.4460  7 O 2.71-2.89
Ba6 0.2091 0.4282 0.5540  7 O 2.71-2.89
Ba7 0.2115 0.9448 0.5575  8 O 2.74-3.01
Ba8 0.7885 0.0552 0.4425  8 O 2.74-3.01
Al1 0.5827 0.2910 0.7049  4 O 1.74-1.80
Al2 0.4173 0.7090 0.2951  4 O 1.74-1.80
Al3 0.4519 0.3401 0.9928  4 O 1.75-1.79
Al4 0.5481 0.6599 0.0072  4 O 1.75-1.79
Al5 0.1028 0.1352 0.8143  5 O 1.80-1.99
Al6 0.8972 0.8648 0.1857  5 O 1.80-1.99
Al7 0.1307 0.6377 0.7948  4 O 1.75-1.79
Al8 0.8693 0.3623 0.2052  4 O 1.75-1.79
Al9 0.5793 0.7935 0.7073  4 O 1.73-1.80
Al10 0.4207 0.2065 0.2927  4 O 1.73-1.80
B1 0.9019 0.2154 0.6466  3 O 1.36-1.41
B2 0.0981 0.7846 0.3534  3 O 1.36-1.41
B3 0.4305 0.0769 0.6673  3 O 1.37-1.39
B4 0.5695 0.9231 0.3327  3 O 1.37-1.39
B5 0.4387 0.5785 0.6626  3 O 1.38-1.39
B6 0.5613 0.4215 0.3374  3 O 1.38-1.39
B7 0.1811 0.3505 0.9080  3 O 1.37-1.40
B8 0.8189 0.6495 0.0920  3 O 1.37-1.40
B9 0.1179 0.8426 0.9394  3 O 1.38-1.40
B10 0.8821 0.1574 0.0606  3 O 1.38-1.40
B11 0.8995 0.7153 0.6572  3 O 1.35-1.41
B12 0.1005 0.2847 0.3428  3 O 1.35-1.41
O1 0.9207 0.0852 0.6212  1 B 1.36
O2 0.0793 0.9148 0.3788  1 B 1.36
O3 0.7743 0.3155 0.6300  1 B 1.41
O4 0.2257 0.6845 0.3700  1 B 1.41
O5 0.0033 0.2518 0.7000  1 B 1.40
O6 0.9967 0.7482 0.3000  1 B 1.40
O7 0.4650 0.9409 0.6432  1 B 1.39
O8 0.5350 0.0591 0.3568  1 B 1.39
O9 0.2850 0.1448 0.6808  1 B 1.37
O10 0.7150 0.8552 0.3192  1 B 1.37
O11 0.5510 0.1394 0.6663  1 B 1.39
O12 0.4490 0.8606 0.3337  1 B 1.39
O13 0.4627 0.4406 0.6483  1 B 1.38
O14 0.5373 0.5594 0.3517  1 B 1.38
O15 0.2948 0.6541 0.6698  1 B 1.39
O16 0.7052 0.3459 0.3302  1 B 1.39
O17 0.5576 0.6402 0.6625  1 B 1.38
O18 0.4424 0.3598 0.3375  1 B 1.38
O19 0.1749 0.2124 0.9115  1 B 1.38
O20 0.8251 0.7876 0.0885  1 B 1.38
O21 0.1051 0.4585 0.8325  1 B 1.40
O22 0.8949 0.5415 0.1675  1 B 1.40
O23 0.2604 0.3840 0.9802  1 B 1.37
O24 0.7396 0.6160 0.0198  1 B 1.37
O25 0.1382 0.7042 0.9233  1 B 1.40
O26 0.8618 0.2958 0.0767  1 B 1.40
O27 0.0958 0.8642 0.0605  1 B 1.38
O28 0.9042 0.1358 0.9395  1 B 1.38
O29 0.1193 0.9477 0.8336  1 B 1.38
O30 0.8807 0.0523 0.1664  1 B 1.38
O31 0.9828 0.7482 0.7306  1 B 1.41
O32 0.0172 0.2518 0.2694  1 B 1.41
O33 0.9347 0.5921 0.6173  1 B 1.35
O34 0.0653 0.4079 0.3827  1 B 1.35
O35 0.7731 0.8145 0.6360  1 B 1.41
O36 0.2269 0.1855 0.3640  1 B 1.41
O37 0.5743 0.2696 0.8651  2 Al 1.74-1.76
O38 0.4257 0.7304 0.1349  2 Al 1.74-1.76
O39 0.4392 0.2156 0.1334  2 Al 1.73-1.75
O40 0.5608 0.7844 0.8666  2 Al 1.73-1.75
O41 0.5000 0.5000 0.0000  2 Al 1.76

Record 10
A relaxed structure of TaHgW2, computed with PBE.

Output
Formation energy from the elements   0.41 eV/atom
SG   Pm
Fermi-level density of states   2.5 states/eV/cell

Lattice parameters (Å, degrees): 4.4472 2.8218 5.8898 74.14 90.00 90.00
With the nearest neighbours (Å) after each atom.
Atoms (fractional coordinates):
Hg1 0.0000 0.4759 0.5011  2 Hg 2.82, 4 W 2.89-2.96, 4 Ta 2.97-3.11
Ta1 0.5000 0.7715 0.7674  3 W 2.70-2.84, 2 Ta 2.82, 2 Hg 2.97
W1 0.0000 0.0236 0.0096  4 W 2.69-2.82, 2 Ta 2.84, 2 Hg 2.89-2.92
W2 0.5000 0.2291 0.2219  4 W 2.69-2.82, 1 Ta 2.70, 2 Hg 2.96

Record 11
A relaxed structure of TmAlV4, computed with PBE.

Output
Formation energy from the elements   0.14 eV/atom
SG   F-43m
Fermi-level density of states   7.8 states/eV/cell

Lattice parameters (Å, degrees): 5.1786 5.1786 5.1786 60.00 60.00 60.00
With the nearest neighbours (Å) after each atom.
Atoms (fractional coordinates):
Tm1 0.2500 0.2500 0.2500  12 V 3.03, 4 Al 3.17
Al1 0.0000 0.0000 0.0000  12 V 3.04, 4 Tm 3.17
V1 0.6219 0.6218 0.1344  6 V 2.52-2.65
V2 0.6219 0.1344 0.6218  6 V 2.52-2.65
V3 0.6219 0.6218 0.6218  6 V 2.52-2.65
V4 0.1345 0.6218 0.6218  6 V 2.52-2.65

Record 12
A relaxed structure of LiMgIr2, computed with PBE.

Output
Formation energy from the elements   -0.26 eV/atom
SG   C2/m
Fermi-level density of states   2.4 states/eV/cell

Lattice parameters (Å, degrees): 4.5764 4.5764 4.8623 81.05 81.05 35.09
With the nearest neighbours (Å) after each atom.
Atoms (fractional coordinates):
Mg1 0.2500 0.2500 0.2500  6 Ir 2.72, 2 Mg 2.76, 4 Li 2.80
Ir1 0.9990 0.9990 0.9836  3 Li 2.61-2.68, 4 Ir 2.66-2.76, 3 Mg 2.72
Ir2 0.5010 0.5010 0.5164  3 Li 2.61-2.68, 4 Ir 2.66-2.76, 3 Mg 2.72
Li1 0.7500 0.7500 0.7500  6 Ir 2.61-2.68, 2 Li 2.76, 4 Mg 2.80